Record 1
B5W2 | PBE | relaxed

As for the total energy: -8.2304 eV per atom. The formation energy comes out at 0.24 eV per atom. As for the space-group type: R-3m (166). The density of states at the Fermi level comes out at 0.183 states/eV/atom. The calculation puts the total magnetic moment at 0.00 μB per formula unit.

Unit cell a=7.414 b=7.414 c=7.414 alpha=24.06 beta=24.06 gamma=24.06
Positions (direct):
W1 0.924 0.924 0.924
W2 0.076 0.076 0.076
B1 0.185 0.185 0.185
B2 0.331 0.331 0.331
B3 0.669 0.669 0.669
B4 0.815 0.815 0.815
B5 0.500 0.500 0.500

Record 2
BW4 | PBE | relaxed

As for the total energy: -11.3687 eV per atom. The formation energy comes out at 0.33 eV per atom. As for the space-group type: Pm-3m (221). The density of states at the Fermi level comes out at 0.653 states/eV/atom. The calculation puts the total magnetic moment at 0.00 μB per formula unit.

Unit cell a=4.205 b=4.205 c=4.205 alpha=90.00 beta=90.00 gamma=90.00
Positions (direct):
B1 0.500 0.500 0.500
W1 0.500 0.500 0.000
W2 0.000 0.500 0.500
W3 0.500 0.000 0.500
W4 0.000 0.000 0.000